Entry 1:
# CrGeS2N | the Alexandria database | PBEsol | relaxed
# Energy ... -5.815 eV/atom
# E_form (uncorrected) ... 0.6797 eV per atom
# Density of states at the Fermi level ... 2.461 states/eV/f.u.
data_CrGeS2N
_space_group_name_H-M_alt 'P 4/m m m'
_space_group_IT_number 123
_space_group_name_Hall '-P 4 2'
_cell_length_a 4.7601
_cell_length_b 4.7601
_cell_length_c 3.5412
_cell_angle_alpha 90.00
_cell_angle_beta 90.00
_cell_angle_gamma 90.00
loop_
_atom_site_label
_atom_site_type_symbol
_atom_site_fract_x
_atom_site_fract_y
_atom_site_fract_z
Cr1 Cr 0.0000 0.0000 0.0000
Ge1 Ge 0.5000 0.5000 0.5000
S1 S 0.0000 0.5000 0.5000
N1 N 0.5000 0.5000 0.0000

***

Entry 2:
# CrGeWN2 | the Alexandria database | PBEsol | relaxed
# Energy ... -7.227 eV/atom
# E_form (uncorrected) ... 1.9810 eV per atom
# Density of states at the Fermi level ... 3.893 states/eV/f.u.
data_CrGeWN2
_space_group_name_H-M_alt 'P 4/m m m'
_space_group_IT_number 123
_space_group_name_Hall '-P 4 2'
_cell_length_a 3.7210
_cell_length_b 3.7210
_cell_length_c 5.0125
_cell_angle_alpha 90.00
_cell_angle_beta 90.00
_cell_angle_gamma 90.00
loop_
_atom_site_label
_atom_site_type_symbol
_atom_site_fract_x
_atom_site_fract_y
_atom_site_fract_z
Cr1 Cr 0.0000 0.0000 0.0000
Ge1 Ge 0.5000 0.5000 0.5000
W1 W 0.5000 0.5000 0.0000
N1 N 0.0000 0.5000 0.5000